1.
Entry from Alexandria via LeMat-Bulk: crystalline Tb4YGa4 at its relaxed geometry (GGA-PBE).

Structure (extended XYZ):
```
18
Lattice="-2.765 -1.108 -3.698 2.505 -9.671 1.024 -7.771 -1.355 6.215" Properties=species:S:1:pos:R:3 pbc="T T T"
Y 0.000 0.000 0.000
Y -4.015 -6.067 1.771
Ga -3.876 -7.084 -1.076
Ga -6.919 -6.156 0.920
Ga -1.511 -2.320 -1.223
Ga -2.505 -3.747 2.994
Ga -7.632 -2.373 3.367
Ga -0.399 -9.761 0.173
Ga -6.520 -9.813 4.766
Ga -2.762 -7.279 4.244
Tb -7.910 -8.511 2.367
Tb -0.591 -8.894 3.104
Tb -2.884 -4.730 -2.523
Tb -3.896 -2.445 0.595
Tb -4.676 -2.132 4.134
Tb -7.110 -5.289 3.852
Tb -4.136 -9.689 2.945
Tb -0.920 -6.844 -0.310
```

Summary:
**Space-group type**: I4/m
**Formation energy from the elements**: -0.41 eV per atom

2.
Entry from Alexandria via LeMat-Bulk: crystalline CePrNd at its relaxed geometry (GGA-PBE).

Structure (extended XYZ):
```
6
Lattice="-2.377 -2.188 -1.208 5.700 -2.788 -6.166 2.197 -4.677 4.147" Properties=species:S:1:pos:R:3 pbc="T T T"
Nd 3.949 -3.733 -1.010
Nd 2.850 -1.394 -3.083
Ce 5.345 -3.515 -4.151
Ce 2.552 -3.950 2.132
Pr 5.158 -6.900 -2.577
Pr 0.362 -2.753 -0.651
```

Summary:
**Space-group type**: Pmma
**Energy relative to the lowest polymorph listed for this composition**: 0.50 eV/f.u.
**Formation energy from the elements**: 0.24 eV per atom

3.
Entry from Alexandria via LeMat-Bulk: crystalline LiCaPd at its relaxed geometry (GGA-PBE).

Structure (extended XYZ):
```
6
Lattice="5.729 0.004 0.057 -0.631 5.688 0.256 -2.062 -2.433 3.615" Properties=species:S:1:pos:R:3 pbc="T T T"
Ca 0.464 -1.060 2.767
Ca 2.571 4.319 1.162
Pd 1.518 1.629 1.964
Pd 0.000 0.000 0.000
Li -0.822 2.227 1.031
Li 3.858 1.031 2.898
```

Summary:
**Space-group type**: Imma
**Energy relative to the lowest polymorph listed for this composition**: 0.23 eV/f.u.
**Formation energy from the elements**: -0.39 eV per atom

4.
Entry from Alexandria via LeMat-Bulk: crystalline Na4MgTl2 at its relaxed geometry (GGA-PBE).

Structure (extended XYZ):
```
14
Lattice="11.256 0.000 0.000 0.000 6.336 -0.575 0.000 1.675 6.049" Properties=species:S:1:pos:R:3 pbc="T T T"
Na 1.579 1.602 2.568
Na 9.441 3.268 0.393
Na 4.049 4.770 2.281
Na 1.815 4.743 5.081
Na 7.443 6.436 0.106
Na 3.813 1.575 5.369
Na 9.677 6.410 2.906
Na 7.207 3.242 3.194
Tl 0.922 4.722 1.683
Tl 10.334 3.290 3.791
Tl 4.706 1.554 1.971
Tl 6.550 6.458 3.504
Mg 0.000 0.000 0.000
Mg 5.628 3.168 -0.287
```

Summary:
**Space-group type**: P2_1/c
**Energy relative to the lowest polymorph listed for this composition**: 0.00 eV/f.u.
**Formation energy from the elements**: -0.02 eV per atom

5.
Entry from Alexandria via LeMat-Bulk: crystalline ErThFe4 at its relaxed geometry (GGA-PBE).

Structure (extended XYZ):
```
6
Lattice="-4.345 0.273 2.796 -4.439 -1.826 -1.932 -2.094 -4.309 1.954" Properties=species:S:1:pos:R:3 pbc="T T T"
Fe -4.579 -2.750 2.729
Fe -6.800 -3.664 1.762
Fe -5.752 -1.508 0.784
Fe -4.626 -3.801 0.362
Er 0.000 0.000 0.000
Th -2.720 -1.465 0.705
```

Summary:
**Space-group type**: F-43m
**Formation energy from the elements**: -0.10 eV per atom

6.
Entry from Alexandria via LeMat-Bulk: crystalline Cs2PdBr6N at its relaxed geometry (GGA-PBE).

Structure (extended XYZ):
```
10
Lattice="-6.253 1.845 5.218 -5.391 -3.814 -5.111 -5.087 -5.199 2.424" Properties=species:S:1:pos:R:3 pbc="T T T"
Pd 0.000 0.000 0.000
Br -5.504 -2.807 1.079
Br -6.071 0.649 3.034
Br -5.573 -2.618 -2.928
Br -11.227 -4.360 1.452
Br -2.462 -0.416 0.023
Br -9.182 -1.553 0.084
Cs -8.150 -4.999 -1.317
Cs -8.581 -2.169 3.847
N -5.822 -0.984 0.053
```

Summary:
**Uncorrected formation energy**: -0.46 eV per atom
**Space-group type**: I4/mmm

7.
Entry from Alexandria via LeMat-Bulk: crystalline Cd2HgSb2 at its relaxed geometry (GGA-PBE).

Structure (extended XYZ):
```
10
Lattice="8.262 -2.705 -1.716 -5.046 7.234 -1.986 0.246 0.349 6.658" Properties=species:S:1:pos:R:3 pbc="T T T"
Hg 1.145 5.199 2.733
Hg 2.317 -0.322 0.223
Cd 0.237 3.920 0.380
Cd 4.569 2.849 0.041
Cd -1.107 2.028 2.915
Cd 3.225 0.957 2.576
Sb 2.261 3.561 -1.561
Sb 1.200 1.316 4.517
Sb -2.290 4.324 4.228
Sb 5.752 0.553 -1.272
```

Summary:
**Uncorrected formation energy**: 0.08 eV per atom
**Space-group type**: C2/c
**Energy relative to the lowest polymorph listed for this composition**: 0.23 eV/f.u.

8.
Entry from Alexandria via LeMat-Bulk: crystalline PSN at its relaxed geometry (GGA-PBE).

Structure (extended XYZ):
```
3
Lattice="-2.615 0.814 -0.428 0.212 -1.035 -3.261 -1.768 -5.008 1.475" Properties=species:S:1:pos:R:3 pbc="T T T"
N -2.113 -2.237 0.573
P -3.696 -2.596 0.584
S -4.030 -4.338 -0.687
```

Summary:
**Uncorrected formation energy**: 0.11 eV per atom
**Space-group type**: Pm
**Energy relative to the lowest polymorph listed for this composition**: 0.26 eV/f.u.

9.
Entry from Alexandria via LeMat-Bulk: crystalline Ca8HgN4 at its relaxed geometry (GGA-PBE).

Structure (extended XYZ):
```
13
Lattice="0.346 2.558 2.542 -7.391 -1.427 5.024 4.685 -4.414 6.384" Properties=species:S:1:pos:R:3 pbc="T T T"
Ca -3.222 -0.602 6.207
Ca -2.180 -1.417 9.467
Ca 2.639 -2.359 4.595
Ca -0.434 -4.461 9.710
Ca 0.539 -2.314 7.418
Ca -0.502 -1.498 4.157
Ca -2.251 1.545 3.915
Ca -5.321 -0.557 9.030
N 0.184 -2.054 9.786
N 1.170 -0.673 5.680
N -3.853 -2.243 7.945
N -2.869 -0.862 3.839
Hg 4.691 -2.949 7.491
```

Summary:
**Uncorrected formation energy**: -0.71 eV per atom
**Space-group type**: Cm
**Energy relative to the lowest polymorph listed for this composition**: 0.00 eV/f.u.

10.
Entry from Alexandria via LeMat-Bulk: crystalline OsWAu4 at its relaxed geometry (GGA-PBE).

Structure (extended XYZ):
```
6
Lattice="0.000 3.756 3.756 3.756 0.000 3.756 3.756 3.756 0.000" Properties=species:S:1:pos:R:3 pbc="T T T"
Au 4.695 4.695 2.817
Au 4.695 2.817 4.695
Au 2.817 2.817 2.817
Au 2.817 4.695 4.695
Os 5.634 5.634 5.634
W 0.000 0.000 0.000
```

Summary:
**Space-group type**: F-43m
**Formation energy from the elements**: 1.00 eV per atom

11.
Entry from Alexandria via LeMat-Bulk: crystalline AcLaI4 at its relaxed geometry (GGA-PBE).

Structure (extended XYZ):
```
6
Lattice="6.494 0.000 0.000 0.000 6.494 0.000 -3.247 -3.247 6.286" Properties=species:S:1:pos:R:3 pbc="T T T"
Ac 3.247 3.247 0.000
I 0.000 0.000 2.944
I 3.247 3.247 3.342
I 3.247 0.000 6.133
I 3.247 0.000 0.154
La 0.000 3.247 3.143
```

Summary:
**Uncorrected formation energy**: -1.29 eV per atom
**Space-group type**: I-4m2
**Energy relative to the lowest polymorph listed for this composition**: 0.34 eV/f.u.

12.
Entry from Alexandria via LeMat-Bulk: crystalline LaPa2IrN4 at its relaxed geometry (GGA-PBE).

Structure (extended XYZ):
```
16
Lattice="3.527 0.000 0.000 -1.764 5.887 0.000 0.000 0.000 11.802" Properties=species:S:1:pos:R:3 pbc="T T T"
N 0.000 0.000 5.901
N 0.000 0.000 0.000
N 0.000 3.203 1.244
N 0.000 3.203 4.657
N 1.764 2.685 10.558
N 0.000 5.304 8.851
N 1.764 0.583 2.950
N 1.764 2.685 7.145
La 0.000 1.238 8.851
La 1.764 4.649 2.950
Pa 0.000 4.343 6.590
Pa 0.000 4.343 11.113
Pa 1.764 1.544 5.212
Pa 1.764 1.544 0.689
Ir 0.000 1.858 2.950
Ir 1.764 4.030 8.851
```

Summary:
**Uncorrected formation energy**: -1.23 eV per atom
**Space-group type**: Cmcm

13.
Entry from Alexandria via LeMat-Bulk: crystalline ErCu2O4 at its relaxed geometry (GGA-PBE).

Structure (extended XYZ):
```
14
Lattice="6.248 0.000 0.000 1.127 6.145 0.000 -3.687 -3.073 4.000" Properties=species:S:1:pos:R:3 pbc="T T T"
Cu 4.686 0.000 1.000
Cu 2.842 -1.536 3.000
Cu 1.562 0.000 1.000
Cu 3.406 1.537 3.000
O -1.036 2.033 3.416
O -2.362 -0.125 3.774
O 1.600 1.039 2.583
O 4.998 4.459 1.416
O -0.015 -0.772 1.774
O 2.925 3.198 2.226
O 5.501 1.687 0.584
O 3.139 0.772 0.226
Er 0.564 3.073 2.000
Er 3.687 3.073 0.000
```

Summary:
**Uncorrected formation energy**: -1.69 eV per atom
**Space-group type**: I4_1/a

14.
Entry from Alexandria via LeMat-Bulk: crystalline LaPr2Co at its relaxed geometry (GGA-PBE).

Structure (extended XYZ):
```
8
Lattice="-2.623 -2.248 -1.562 2.498 -3.227 5.057 -7.030 4.011 6.032" Properties=species:S:1:pos:R:3 pbc="T T T"
Pr -6.983 -0.511 7.864
Pr -4.491 -1.933 5.726
Pr -0.171 -0.954 1.663
Pr -2.663 0.468 3.802
Co -2.480 -2.282 2.850
Co -4.674 0.817 6.678
La -6.352 1.044 4.571
La -0.802 -2.509 4.957
```

Summary:
**Space-group type**: P2_1/m
**Energy relative to the lowest polymorph listed for this composition**: 0.10 eV/f.u.
**Formation energy from the elements**: -0.05 eV per atom

15.
Entry from Alexandria via LeMat-Bulk: crystalline NaCa2Ga at its relaxed geometry (GGA-PBE).

Structure (extended XYZ):
```
4
Lattice="3.906 0.000 0.000 0.000 5.476 0.000 0.000 0.000 5.476" Properties=species:S:1:pos:R:3 pbc="T T T"
Ca 0.000 2.738 0.000
Ca 0.000 0.000 2.738
Na 1.953 2.738 2.738
Ga 1.953 0.000 0.000
```

Summary:
**Space-group type**: P4/mmm
**Formation energy from the elements**: -0.13 eV per atom

16.
Entry from Alexandria via LeMat-Bulk: crystalline Ac2InC2N6 at its relaxed geometry (GGA-PBE).

Structure (extended XYZ):
```
11
Lattice="-2.892 -3.329 3.327 -0.849 -0.133 -5.458 4.004 -4.004 -0.526" Properties=species:S:1:pos:R:3 pbc="T T T"
In 0.000 0.000 0.000
N 2.182 -3.746 -1.853
N 0.586 -5.223 -2.760
N -1.557 -3.662 1.524
N -0.324 -2.243 0.104
N 1.819 -3.804 -4.180
N -1.920 -3.720 -0.803
Ac 0.601 -5.076 0.030
Ac -0.338 -2.390 -2.686
C -1.348 -3.127 0.286
C 1.610 -4.339 -2.942
```

Summary:
**Uncorrected formation energy**: -0.34 eV per atom
**Space-group type**: P-3m1

17.
Entry from Alexandria via LeMat-Bulk: crystalline K5Al at its relaxed geometry (GGA-PBE).

Structure (extended XYZ):
```
6
Lattice="4.422 0.000 0.000 0.000 4.422 0.000 0.000 0.000 17.706" Properties=species:S:1:pos:R:3 pbc="T T T"
K 2.211 2.211 5.321
K 0.000 0.000 8.853
K 0.000 0.000 1.948
K 0.000 0.000 15.758
K 2.211 2.211 12.384
Al 2.211 2.211 0.000
```

Summary:
**Space-group type**: P4/mmm
**Energy relative to the lowest polymorph listed for this composition**: 0.00 eV/f.u.
**Formation energy from the elements**: 0.19 eV per atom

18.
Entry from Alexandria via LeMat-Bulk: crystalline ScTa2Re at its relaxed geometry (GGA-PBE).

Structure (extended XYZ):
```
4
Lattice="-1.589 -5.112 -1.405 0.728 -4.223 -3.502 2.769 -3.478 1.586" Properties=species:S:1:pos:R:3 pbc="T T T"
Ta 2.684 -3.614 1.434
Ta 1.039 -6.269 -1.509
Sc 0.477 -3.203 -0.830
Re 1.431 -9.610 -2.491
```

Summary:
**Space-group type**: Immm
**Energy relative to the lowest polymorph listed for this composition**: 0.00 eV/f.u.
**Formation energy from the elements**: -0.10 eV per atom

19.
Entry from Alexandria via LeMat-Bulk: crystalline BaTaCd2 at its relaxed geometry (GGA-PBE).

Structure (extended XYZ):
```
4
Lattice="3.163 0.000 0.000 0.000 4.184 0.000 0.000 0.000 7.868" Properties=species:S:1:pos:R:3 pbc="T T T"
Cd 0.000 0.000 0.481
Cd 0.000 0.000 3.453
Ba 1.581 2.092 5.901
Ta 1.581 2.092 1.967
```

Summary:
**Space-group type**: Pmmm
**Energy relative to the lowest polymorph listed for this composition**: 0.17 eV/f.u.
**Formation energy from the elements**: 0.36 eV per atom

20.
Entry from Alexandria via LeMat-Bulk: crystalline AsCl at its relaxed geometry (GGA-PBE).

Structure (extended XYZ):
```
4
Lattice="8.228 -0.075 0.000 -7.271 3.852 0.000 0.000 0.000 3.894" Properties=species:S:1:pos:R:3 pbc="T T T"
As -3.321 2.852 0.974
As 4.278 0.926 2.921
Cl -1.181 2.309 0.974
Cl 2.138 1.468 2.921
```

Summary:
**Uncorrected formation energy**: -0.37 eV per atom
**Space-group type**: Cmcm

21.
Entry from Alexandria via LeMat-Bulk: crystalline BaOsW2 at its relaxed geometry (GGA-PBE).

Structure (extended XYZ):
```
4
Lattice="-2.408 5.227 2.323 -4.160 -0.158 4.603 5.653 -0.943 -2.381" Properties=species:S:1:pos:R:3 pbc="T T T"
Ba -0.020 3.409 1.702
Os -0.895 0.717 2.842
W -0.284 0.219 0.300
W -3.000 2.315 3.163
```

Summary:
**Space-group type**: Immm
**Energy relative to the lowest polymorph listed for this composition**: 1.66 eV/f.u.
**Formation energy from the elements**: 1.21 eV per atom

22.
Entry from Alexandria via LeMat-Bulk: crystalline ErSi3Pt2 at its relaxed geometry (GGA-PBE).

Structure (extended XYZ):
```
12
Lattice="3.888 0.000 -1.143 -0.942 6.368 -3.205 0.234 0.265 7.985" Properties=species:S:1:pos:R:3 pbc="T T T"
Si 0.980 3.593 3.333
Si 3.620 2.308 5.133
Si 1.279 0.858 4.354
Si 2.201 3.040 0.304
Si 1.901 5.775 -0.717
Si -0.440 4.325 -1.496
Pt 2.917 2.073 2.740
Pt 0.264 4.560 0.898
Pt 1.954 1.429 6.649
Pt 1.227 5.204 -3.011
Er 2.782 5.576 2.281
Er 0.399 1.057 1.357
```

Summary:
**Uncorrected formation energy**: -0.79 eV per atom
**Space-group type**: C2/m

23.
Entry from Alexandria via LeMat-Bulk: crystalline HoErGa3 at its relaxed geometry (GGA-PBE).

Structure (extended XYZ):
```
10
Lattice="-3.942 0.004 -1.299 -1.064 -2.368 3.222 -1.739 11.630 5.318" Properties=species:S:1:pos:R:3 pbc="T T T"
Ga -4.426 6.765 3.511
Ga -3.147 9.944 6.270
Ga -4.032 1.318 2.294
Ga -2.319 2.502 3.730
Ga -3.598 -0.677 0.971
Ga -2.713 7.948 4.947
Er -2.860 4.993 5.383
Er -3.885 4.273 1.858
Ho -1.316 1.520 0.683
Ho -5.429 7.746 6.558
```

Summary:
**Space-group type**: Cmcm
**Formation energy from the elements**: -0.62 eV per atom

24.
Entry from Alexandria via LeMat-Bulk: crystalline TbNd5Hg6 at its relaxed geometry (GGA-PBE).

Structure (extended XYZ):
```
12
Lattice="-0.639 -0.710 5.301 4.085 -6.493 -0.377 6.464 3.831 4.060" Properties=species:S:1:pos:R:3 pbc="T T T"
Nd 2.042 -3.247 -0.188
Nd 1.943 1.041 3.121
Nd 5.904 -1.179 6.048
Nd 4.005 -2.193 2.937
Nd 3.882 2.080 6.241
Tb 0.000 0.000 0.000
Hg 7.137 1.898 6.619
Hg 4.656 -4.238 5.478
Hg 2.582 -0.940 5.669
Hg 2.772 -5.270 2.365
Hg 5.254 0.866 3.507
Hg 7.328 -2.432 3.316
```

Summary:
**Space-group type**: P2/m
**Formation energy from the elements**: -0.47 eV per atom